Record 1
{
  "formula": "YV3Fe",
  "functional": "GGA-PBE",
  "state": "relaxed",
  "lattice_angstrom": [[4.435, 0.000, 0.000], [0.000, 4.435, 0.000], [0.000, 0.000, 4.435]],
  "species": ["V", "V", "V", "Fe", "Y"],
  "fractional_positions": [[0.000, 0.000, 0.500], [0.500, 0.000, 0.000], [0.000, 0.500, 0.000], [0.000, 0.000, 0.000], [0.500, 0.500, 0.500]],
  "magmom_total_mub_per_fu": 0.00,
  "formation_energy_mev_per_atom": 475,
  "spacegroup": "Pm-3m"
}

***

Record 2
{
  "formula": "Rb2SbO2F4",
  "functional": "GGA-PBE",
  "state": "relaxed",
  "lattice_angstrom": [[5.014, -0.383, -0.260], [0.668, 6.146, 0.489], [0.668, 2.712, 5.537]],
  "species": ["F", "F", "F", "F", "O", "O", "Rb", "Rb", "Sb"],
  "fractional_positions": [[0.716, 0.311, 0.843], [0.284, 0.689, 0.157], [0.716, 0.843, 0.311], [0.284, 0.157, 0.689], [0.273, 0.146, 0.146], [0.727, 0.854, 0.854], [0.812, 0.331, 0.331], [0.188, 0.669, 0.669], [0.500, 0.000, 0.000]],
  "raw_formation_energy_ev_per_atom": -2.061,
  "magmom_total_mub_per_fu": 1.01,
  "spacegroup": "C2/m"
}

***

Record 3
{
  "formula": "Ti6PtC4",
  "functional": "GGA-PBE",
  "state": "relaxed",
  "lattice_angstrom": [[-0.795, -0.541, -2.954], [2.584, -4.436, 1.751], [-14.377, -6.386, 5.037]],
  "species": ["C", "C", "C", "C", "C", "C", "C", "C", "Ti", "Ti", "Ti", "Ti", "Ti", "Ti", "Ti", "Ti", "Ti", "Ti", "Ti", "Ti", "Pt", "Pt"],
  "fractional_positions": [[0.861, 0.722, 0.961], [0.592, 0.184, 0.621], [0.408, 0.816, 0.121], [0.592, 0.184, 0.879], [0.408, 0.816, 0.379], [0.139, 0.278, 0.039], [0.139, 0.278, 0.461], [0.861, 0.722, 0.539], [0.962, 0.924, 0.853], [0.225, 0.449, 0.577], [0.038, 0.076, 0.353], [0.038, 0.076, 0.147], [0.225, 0.449, 0.923], [0.775, 0.551, 0.077], [0.500, 0.000, 0.000], [0.962, 0.924, 0.647], [0.775, 0.551, 0.423], [0.500, 0.000, 0.500], [0.353, 0.705, 0.250], [0.647, 0.295, 0.750], [0.663, 0.326, 0.250], [0.337, 0.674, 0.750]],
  "magmom_total_mub_per_fu": 0.00,
  "formation_energy_mev_per_atom": -829,
  "spacegroup": "Cmcm"
}

***

Record 4
{
  "formula": "YPaPd4",
  "functional": "GGA-PBE",
  "state": "relaxed",
  "lattice_angstrom": [[-3.130, 2.683, -3.559], [1.472, 0.300, -5.235], [-2.799, -2.749, -3.778]],
  "species": ["Pa", "Pd", "Pd", "Pd", "Pd", "Y"],
  "fractional_positions": [[0.250, 0.250, 0.250], [0.125, 0.625, 0.625], [0.625, 0.625, 0.125], [0.625, 0.625, 0.625], [0.625, 0.125, 0.625], [0.000, 0.000, 0.000]],
  "magmom_total_mub_per_fu": 0.73,
  "formation_energy_mev_per_atom": -596,
  "relative_energy_ev_per_fu": 1.028,
  "spacegroup": "F-43m"
}

***

Record 5
{
  "formula": "Yb2CdSe4",
  "functional": "GGA-PBE",
  "state": "relaxed",
  "lattice_angstrom": [[0.000, 5.877, 5.877], [5.877, 0.000, 5.877], [5.877, 5.877, 0.000]],
  "species": ["Se", "Se", "Se", "Se", "Se", "Se", "Se", "Se", "Cd", "Cd", "Yb", "Yb", "Yb", "Yb"],
  "fractional_positions": [[0.381, 0.381, 0.381], [0.381, 0.381, 0.856], [0.869, 0.869, 0.869], [0.869, 0.869, 0.394], [0.869, 0.394, 0.869], [0.381, 0.856, 0.381], [0.394, 0.869, 0.869], [0.856, 0.381, 0.381], [0.000, 0.000, 0.000], [0.250, 0.250, 0.250], [0.625, 0.625, 0.125], [0.125, 0.625, 0.625], [0.625, 0.625, 0.625], [0.625, 0.125, 0.625]],
  "raw_formation_energy_ev_per_atom": -1.219,
  "magmom_total_mub_per_fu": 0.78,
  "spacegroup": "Fd-3m"
}

***

Record 6
{
  "formula": "Sn5As3Au12",
  "functional": "GGA-PBE",
  "state": "relaxed",
  "lattice_angstrom": [[13.670, 0.000, 0.000], [-4.557, 12.888, 0.000], [-4.557, -6.444, 11.161]],
  "species": ["Au", "Au", "Au", "Au", "Au", "Au", "Au", "Au", "Au", "Au", "Au", "Au", "Au", "Au", "Au", "Au", "Au", "Au", "Au", "Au", "Au", "Au", "Au", "Au", "Au", "Au", "Au", "Au", "Au", "Au", "Au", "Au", "Au", "Au", "Au", "Au", "Au", "Au", "Au", "Au", "Au", "Au", "Au", "Au", "Au", "Au", "Au", "Au", "As", "As", "As", "As", "As", "As", "As", "As", "As", "As", "As", "As", "Sn", "Sn", "Sn", "Sn", "Sn", "Sn", "Sn", "Sn", "Sn", "Sn", "Sn", "Sn", "Sn", "Sn", "Sn", "Sn", "Sn", "Sn", "Sn", "Sn"],
  "fractional_positions": [[0.670, 0.431, 0.563], [0.107, 0.170, 0.239], [0.563, 0.632, 0.393], [0.437, 0.368, 0.607], [0.261, 0.868, 0.931], [0.431, 0.670, 0.063], [0.170, 0.107, 0.739], [0.931, 0.368, 0.261], [0.607, 0.868, 0.437], [0.239, 0.569, 0.632], [0.569, 0.239, 0.132], [0.761, 0.431, 0.368], [0.132, 0.739, 0.569], [0.563, 0.931, 0.670], [0.893, 0.830, 0.761], [0.868, 0.607, 0.937], [0.368, 0.437, 0.107], [0.330, 0.569, 0.437], [0.830, 0.937, 0.069], [0.937, 0.107, 0.868], [0.937, 0.830, 0.569], [0.368, 0.931, 0.761], [0.632, 0.069, 0.239], [0.739, 0.132, 0.069], [0.437, 0.069, 0.330], [0.069, 0.437, 0.830], [0.607, 0.739, 0.670], [0.569, 0.330, 0.937], [0.739, 0.607, 0.170], [0.670, 0.239, 0.607], [0.170, 0.063, 0.931], [0.063, 0.170, 0.431], [0.393, 0.261, 0.330], [0.830, 0.893, 0.261], [0.261, 0.393, 0.830], [0.330, 0.761, 0.393], [0.431, 0.761, 0.868], [0.761, 0.330, 0.893], [0.632, 0.563, 0.893], [0.132, 0.393, 0.063], [0.868, 0.261, 0.431], [0.239, 0.670, 0.107], [0.393, 0.132, 0.563], [0.893, 0.063, 0.632], [0.107, 0.937, 0.368], [0.063, 0.893, 0.132], [0.069, 0.632, 0.739], [0.931, 0.563, 0.170], [0.125, 0.875, 0.750], [0.875, 0.750, 0.125], [0.875, 0.125, 0.250], [0.250, 0.625, 0.875], [0.750, 0.875, 0.625], [0.750, 0.375, 0.125], [0.625, 0.250, 0.375], [0.250, 0.125, 0.375], [0.375, 0.625, 0.250], [0.125, 0.250, 0.875], [0.375, 0.750, 0.625], [0.625, 0.375, 0.750], [0.250, 0.875, 0.125], [0.500, 0.000, 0.500], [0.625, 0.875, 0.250], [0.375, 0.125, 0.750], [0.250, 0.375, 0.625], [0.750, 0.125, 0.875], [0.000, 0.000, 0.500], [0.750, 0.625, 0.375], [0.500, 0.500, 0.500], [0.125, 0.375, 0.250], [0.500, 0.500, 0.000], [0.000, 0.000, 0.000], [0.000, 0.500, 0.000], [0.000, 0.500, 0.500], [0.375, 0.250, 0.125], [0.875, 0.625, 0.750], [0.625, 0.750, 0.875], [0.125, 0.750, 0.375], [0.875, 0.250, 0.625], [0.500, 0.000, 0.000]],
  "magmom_total_mub_per_fu": 0.00,
  "formation_energy_mev_per_atom": 122,
  "spacegroup": "Ia-3d"
}

***

Record 7
{
  "formula": "SbTeF2",
  "functional": "GGA-PBE",
  "state": "relaxed",
  "lattice_angstrom": [[0.000, 3.268, 3.268], [3.268, 0.000, 3.268], [3.268, 3.268, 0.000]],
  "species": ["F", "F", "Sb", "Te"],
  "fractional_positions": [[0.250, 0.250, 0.250], [0.750, 0.750, 0.750], [0.000, 0.000, 0.000], [0.500, 0.500, 0.500]],
  "raw_formation_energy_ev_per_atom": -0.787,
  "magmom_total_mub_per_fu": 0.00,
  "relative_energy_ev_per_fu": 2.554,
  "spacegroup": "Fm-3m"
}

***

Record 8
{
  "formula": "La3SbN2",
  "functional": "GGA-PBE",
  "state": "relaxed",
  "lattice_angstrom": [[-1.856, 2.953, 1.031], [-3.682, -3.758, 4.134], [7.598, 1.832, 8.432]],
  "species": ["N", "N", "N", "N", "La", "La", "La", "La", "La", "La", "Sb", "Sb"],
  "fractional_positions": [[0.000, 0.018, 0.251], [0.500, 0.038, 0.505], [0.500, 0.538, 0.495], [0.000, 0.518, 0.749], [0.500, 0.772, 0.329], [0.500, 0.272, 0.671], [0.500, 0.607, 0.890], [0.000, 0.247, 0.407], [0.000, 0.747, 0.593], [0.500, 0.107, 0.110], [0.000, 0.020, 0.866], [0.000, 0.520, 0.134]],
  "raw_formation_energy_ev_per_atom": -1.169,
  "magmom_total_mub_per_fu": 0.00,
  "relative_energy_ev_per_fu": 1.055,
  "spacegroup": "Pmc2_1"
}

***

Record 9
{
  "formula": "NbBrN2",
  "functional": "GGA-PBE",
  "state": "relaxed",
  "lattice_angstrom": [[6.235, 0.000, 0.000], [0.000, 6.235, 0.000], [3.117, 3.117, 4.548]],
  "species": ["Nb", "Nb", "Br", "Br", "N", "N", "N", "N"],
  "fractional_positions": [[0.750, 0.250, 0.500], [0.000, 0.000, 0.000], [0.500, 0.500, 0.000], [0.250, 0.750, 0.500], [0.845, 0.125, 0.250], [0.375, 0.155, 0.750], [0.875, 0.095, 0.750], [0.905, 0.625, 0.250]],
  "raw_formation_energy_ev_per_atom": 0.218,
  "magmom_total_mub_per_fu": 2.00,
  "relative_energy_ev_per_fu": 0.822,
  "spacegroup": "I-42d"
}

***

Record 10
{
  "formula": "LaCePmSm",
  "functional": "GGA-PBE",
  "state": "relaxed",
  "lattice_angstrom": [[5.805, 0.000, 0.000], [2.902, 5.027, 0.000], [2.902, 1.676, 4.739]],
  "species": ["Pm", "La", "Ce", "Sm"],
  "fractional_positions": [[0.750, 0.750, 0.750], [0.250, 0.250, 0.250], [0.500, 0.500, 0.500], [0.000, 0.000, 0.000]],
  "magmom_total_mub_per_fu": 3.23,
  "formation_energy_mev_per_atom": 202,
  "spacegroup": "F-43m"
}

***

Record 11
{
  "formula": "TiFe3Re",
  "functional": "GGA-PBE",
  "state": "relaxed",
  "lattice_angstrom": [[-2.211, 3.368, -1.835], [-3.292, -2.753, -1.087], [-1.968, 0.822, 3.879]],
  "species": ["Ti", "Fe", "Fe", "Fe", "Re"],
  "fractional_positions": [[0.500, 0.500, 0.500], [0.000, 0.000, 0.500], [0.000, 0.500, 0.000], [0.500, 0.000, 0.000], [0.000, 0.000, 0.000]],
  "magmom_total_mub_per_fu": 3.06,
  "formation_energy_mev_per_atom": 1271,
  "relative_energy_ev_per_fu": 0.000,
  "spacegroup": "Pm-3m"
}

***

Record 12
{
  "formula": "AlIn2CoB",
  "functional": "GGA-PBE",
  "state": "relaxed",
  "lattice_angstrom": [[4.818, 0.000, 0.000], [0.000, 4.818, 0.000], [0.000, 0.000, 4.395]],
  "species": ["Co", "B", "In", "In", "Al"],
  "fractional_positions": [[0.000, 0.000, 0.000], [0.500, 0.500, 0.500], [0.500, 0.000, 0.000], [0.000, 0.500, 0.000], [0.000, 0.000, 0.500]],
  "magmom_total_mub_per_fu": 0.00,
  "formation_energy_mev_per_atom": 875,
  "spacegroup": "P4/mmm"
}

***

Let's list energy in order: -7.981; -4.668; -9.038; -6.718; -3.777; -3.542; -3.539; -7.095; -6.881; -4.881; -7.875; -3.726 eV/atom.